No. 1
The following is a PBE-GGA calculation of an optimized crystal structure of CrC4, from the Alexandria database.

Summary:
Magnetic moment = 0.70 μB per formula unit
Formation energy = 3.096 eV/atom

a b c (Å): 3.7920 3.7920 3.7920
angles (deg): 90.00 90.00 90.00
With the nearest neighbours (Å) after each atom.
Atoms (fractional coordinates):
Cr  0.0000  0.0000  0.0000  6 C 1.90
C  0.0000  0.0000  0.5000  2 Cr 1.90
C  0.0000  0.5000  0.0000  2 Cr 1.90
C  0.5000  0.0000  0.0000  2 Cr 1.90
C  0.5000  0.5000  0.5000  12 C 2.68

No. 2
The following is a PBE-GGA calculation of an optimized crystal structure of Cr3C2, from the Alexandria database.

Summary:
Magnetic moment = 0.00 μB per formula unit
Formation energy = -0.101 eV/atom

a b c (Å): 7.9510 2.7854 7.9339
angles (deg): 90.00 90.00 90.00
With the nearest neighbours (Å) after each atom.
Atoms (fractional coordinates):
Cr  0.0626  0.2500  0.1318  4 C 2.05-2.08
Cr  0.1152  0.7500  0.5688  5 C 2.03-2.12
Cr  0.2065  0.2500  0.8128  4 C 2.02-2.22
Cr  0.2935  0.7500  0.3128  4 C 2.02-2.22
Cr  0.3848  0.2500  0.0688  5 C 2.03-2.12
Cr  0.4374  0.7500  0.6318  4 C 2.05-2.08
Cr  0.5626  0.2500  0.3682  4 C 2.05-2.08
Cr  0.6152  0.7500  0.9312  5 C 2.03-2.12
Cr  0.7065  0.2500  0.6872  4 C 2.02-2.22
Cr  0.7935  0.7500  0.1872  4 C 2.02-2.22
Cr  0.8848  0.2500  0.4312  5 C 2.03-2.12
Cr  0.9374  0.7500  0.8682  4 C 2.05-2.08
C  0.0367  0.7500  0.3243  7 Cr 2.03-2.22
C  0.1962  0.7500  0.9973  6 Cr 2.02-2.12
C  0.3038  0.2500  0.4973  6 Cr 2.02-2.12
C  0.4633  0.2500  0.8243  7 Cr 2.03-2.22
C  0.5367  0.7500  0.1757  7 Cr 2.03-2.22
C  0.6962  0.7500  0.5027  6 Cr 2.02-2.12
C  0.8038  0.2500  0.0027  6 Cr 2.02-2.12
C  0.9633  0.2500  0.6757  7 Cr 2.03-2.22

No. 3
The following is a PBE-GGA calculation of an optimized crystal structure of CrC, from the Alexandria database.

Summary:
Magnetic moment = 0.64 μB per formula unit
Formation energy = 0.173 eV/atom

a b c (Å): 5.1026 5.1026 5.1026
angles (deg): 98.42 98.42 135.01
With the nearest neighbours (Å) after each atom.
Atoms (fractional coordinates):
Cr  0.1363  0.3424  0.4787  4 C 1.84-1.98
Cr  0.3424  0.8637  0.2061  4 C 1.84-1.98
Cr  0.6576  0.1363  0.7939  4 C 1.84-1.98
Cr  0.8637  0.6576  0.5213  4 C 1.84-1.98
C  0.1978  0.6120  0.8098  4 Cr 1.84-1.98
C  0.3880  0.1978  0.5858  4 Cr 1.84-1.98
C  0.6120  0.8022  0.4142  4 Cr 1.84-1.98
C  0.8022  0.3880  0.1902  4 Cr 1.84-1.98

No. 4
The following is a PBE-GGA calculation of an optimized crystal structure of Cr3C2, from the Alexandria database.

Summary:
Magnetic moment = 0.00 μB per formula unit
Formation energy = -0.119 eV/atom

a b c (Å): 5.4854 2.7936 11.4784
angles (deg): 90.00 90.00 90.00
With the nearest neighbours (Å) after each atom.
Atoms (fractional coordinates):
Cr  0.0157  0.2500  0.0967  3 C 2.02-2.26
Cr  0.1322  0.7500  0.4316  5 C 2.02-2.09
Cr  0.1859  0.2500  0.7265  5 C 2.00-2.12
Cr  0.3141  0.7500  0.2265  5 C 2.00-2.12
Cr  0.3678  0.2500  0.9316  5 C 2.02-2.09
Cr  0.4843  0.7500  0.5967  3 C 2.02-2.26
Cr  0.5157  0.2500  0.4033  3 C 2.02-2.26
Cr  0.6322  0.7500  0.0684  5 C 2.02-2.09
Cr  0.6859  0.2500  0.7735  5 C 2.00-2.12
Cr  0.8141  0.7500  0.2735  5 C 2.00-2.12
Cr  0.8678  0.2500  0.5684  5 C 2.02-2.09
Cr  0.9843  0.7500  0.9033  3 C 2.02-2.26
C  0.0994  0.2500  0.2974  6 Cr 2.00-2.12
C  0.2387  0.2500  0.5485  7 Cr 2.02-2.26
C  0.2613  0.7500  0.0485  7 Cr 2.02-2.26
C  0.4006  0.7500  0.7974  6 Cr 2.00-2.12
C  0.5994  0.2500  0.2026  6 Cr 2.00-2.12
C  0.7387  0.2500  0.9515  7 Cr 2.02-2.26
C  0.7613  0.7500  0.4515  7 Cr 2.02-2.26
C  0.9006  0.7500  0.7026  6 Cr 2.00-2.12

No. 5
The following is a PBE-GGA calculation of an optimized crystal structure of CrC3, from the Alexandria database.

Summary:
Magnetic moment = 0.00 μB per formula unit
Formation energy = 0.977 eV/atom

a b c (Å): 5.9555 5.9555 3.6403
angles (deg): 90.00 90.00 143.47
With the nearest neighbours (Å) after each atom.
Atoms (fractional coordinates):
Cr  0.0720  0.9280  0.7500  8 C 2.06-2.16
Cr  0.9280  0.0720  0.2500  8 C 2.06-2.16
C  0.1565  0.8435  0.2500  2 C 1.46
C  0.2319  0.3883  0.7500  2 C 1.42-1.46
C  0.3883  0.2319  0.2500  2 C 1.42-1.46
C  0.6117  0.7681  0.7500  2 C 1.42-1.46
C  0.7681  0.6117  0.2500  2 C 1.42-1.46
C  0.8435  0.1565  0.7500  2 C 1.46

No. 6
The following is a PBE-GGA calculation of an optimized crystal structure of Cr8C, from the Alexandria database.

Summary:
Magnetic moment = 0.01 μB per formula unit
Formation energy = 0.274 eV/atom

a b c (Å): 6.0150 6.0150 6.0150
angles (deg): 93.21 93.21 152.64
With the nearest neighbours (Å) after each atom.
Atoms (fractional coordinates):
Cr  0.0000  0.3308  0.3308  8 Cr 2.40-2.44
Cr  0.0000  0.6692  0.6692  8 Cr 2.40-2.44
Cr  0.3308  0.0000  0.3308  8 Cr 2.40-2.44
Cr  0.3442  0.3442  0.6884  2 C 2.31, 6 Cr 2.40-2.58
Cr  0.3442  0.6558  0.0000  2 C 2.31, 6 Cr 2.40-2.58
Cr  0.6558  0.3442  0.0000  2 C 2.31, 6 Cr 2.40-2.58
Cr  0.6558  0.6558  0.3116  2 C 2.31, 6 Cr 2.40-2.58
Cr  0.6692  0.0000  0.6692  8 Cr 2.40-2.44
C  0.0000  0.0000  0.0000  8 Cr 2.31

No. 7
The following is a PBE-GGA calculation of an optimized crystal structure of Cr4C3, from the Alexandria database.

Summary:
Magnetic moment = 0.00 μB per formula unit
Formation energy = 1.273 eV/atom

a b c (Å): 4.1574 4.1574 4.0966
angles (deg): 90.00 90.00 120.00
With the nearest neighbours (Å) after each atom.
Atoms (fractional coordinates):
Cr  0.0000  0.0000  0.2364  2 Cr 1.94-2.16
Cr  0.0000  0.0000  0.7636  2 Cr 1.94-2.16
Cr  0.3333  0.6667  0.5000  6 C 2.37, 9 Cr 2.40-2.63
Cr  0.6667  0.3333  0.5000  6 C 2.37, 9 Cr 2.40-2.63
C  0.0000  0.5000  0.0000  4 C 2.08, 4 Cr 2.29
C  0.5000  0.0000  0.0000  4 C 2.08, 4 Cr 2.29
C  0.5000  0.5000  0.0000  4 C 2.08, 4 Cr 2.29

No. 8
The following is a PBE-GGA calculation of an optimized crystal structure of CrC3, from the Alexandria database.

Summary:
Magnetic moment = 0.00 μB per formula unit
Formation energy = 2.025 eV/atom

a b c (Å): 5.3837 5.3837 5.3837
angles (deg): 152.01 152.01 40.00
With the nearest neighbours (Å) after each atom.
Atoms (fractional coordinates):
Cr  0.0000  0.0000  0.0000  4 C 1.84
C  0.2500  0.7500  0.5000  4 C 1.84
C  0.5000  0.5000  0.0000  4 Cr 1.84
C  0.7500  0.2500  0.5000  4 C 1.84

No. 9
The following is a PBE-GGA calculation of an optimized crystal structure of Cr4C23, from the Alexandria database.

Summary:
Magnetic moment = 14.09 μB per formula unit
Formation energy = 1.190 eV/atom

a b c (Å): 7.2094 7.2094 6.9008
angles (deg): 90.00 90.00 90.00
With the nearest neighbours (Å) after each atom.
Atoms (fractional coordinates):
Cr  0.0000  0.0000  0.2500  16 C 2.31-2.43
Cr  0.0000  0.0000  0.7500  16 C 2.31-2.43
Cr  0.0000  0.5000  0.0000  20 C 2.26-2.49
Cr  0.1735  0.5000  0.5000  6 C 2.18-2.42
Cr  0.5000  0.0000  0.5000  20 C 2.26-2.49
Cr  0.5000  0.1735  0.0000  6 C 2.18-2.42
Cr  0.5000  0.8265  0.0000  6 C 2.18-2.42
Cr  0.8265  0.5000  0.5000  6 C 2.18-2.42
C  0.0000  0.2127  0.5000  4 C 1.54-1.66
C  0.0000  0.3286  0.3127  3 C 1.54-1.57
C  0.0000  0.3286  0.6873  3 C 1.54-1.57
C  0.0000  0.6714  0.3127  3 C 1.54-1.57
C  0.0000  0.6714  0.6873  3 C 1.54-1.57
C  0.0000  0.7873  0.5000  4 C 1.54-1.66
C  0.1135  0.2076  0.0000  4 C 1.58-1.66
C  0.1135  0.7924  0.0000  4 C 1.58-1.66
C  0.1811  0.3113  0.1887  4 C 1.57-1.68
C  0.1811  0.3113  0.8113  4 C 1.57-1.68
C  0.1811  0.6887  0.1887  4 C 1.57-1.68
C  0.1811  0.6887  0.8113  4 C 1.57-1.68
C  0.2076  0.1135  0.5000  4 C 1.58-1.66
C  0.2076  0.8865  0.5000  4 C 1.58-1.66
C  0.2127  0.0000  0.0000  4 C 1.54-1.66
C  0.3012  0.5000  0.1230  4 C 1.68-1.70
C  0.3012  0.5000  0.8770  4 C 1.68-1.70
C  0.3113  0.1811  0.3113  4 C 1.57-1.68
C  0.3113  0.1811  0.6887  4 C 1.57-1.68
C  0.3113  0.8189  0.3113  4 C 1.57-1.68
C  0.3113  0.8189  0.6887  4 C 1.57-1.68
C  0.3286  0.0000  0.1873  3 C 1.54-1.57
C  0.3286  0.0000  0.8127  3 C 1.54-1.57
C  0.5000  0.3012  0.3770  4 C 1.68-1.70
C  0.5000  0.3012  0.6230  4 C 1.68-1.70
C  0.5000  0.5000  0.2500  4 C 1.68
C  0.5000  0.5000  0.7500  4 C 1.68
C  0.5000  0.6988  0.3770  4 C 1.68-1.70
C  0.5000  0.6988  0.6230  4 C 1.68-1.70
C  0.6714  0.0000  0.1873  3 C 1.54-1.57
C  0.6714  0.0000  0.8127  3 C 1.54-1.57
C  0.6887  0.1811  0.3113  4 C 1.57-1.68
C  0.6887  0.1811  0.6887  4 C 1.57-1.68
C  0.6887  0.8189  0.3113  4 C 1.57-1.68
C  0.6887  0.8189  0.6887  4 C 1.57-1.68
C  0.6988  0.5000  0.1230  4 C 1.68-1.70
C  0.6988  0.5000  0.8770  4 C 1.68-1.70
C  0.7873  0.0000  0.0000  4 C 1.54-1.66
C  0.7924  0.1135  0.5000  4 C 1.58-1.66
C  0.7924  0.8865  0.5000  4 C 1.58-1.66
C  0.8189  0.3113  0.1887  4 C 1.57-1.68
C  0.8189  0.3113  0.8113  4 C 1.57-1.68
C  0.8189  0.6887  0.1887  4 C 1.57-1.68
C  0.8189  0.6887  0.8113  4 C 1.57-1.68
C  0.8865  0.2076  0.0000  4 C 1.58-1.66
C  0.8865  0.7924  0.0000  4 C 1.58-1.66

No. 10
The following is a PBE-GGA calculation of an optimized crystal structure of CrC, from the Alexandria database.

Summary:
Magnetic moment = 0.00 μB per formula unit
Formation energy = 0.326 eV/atom

a b c (Å): 3.7984 3.7984 3.4740
angles (deg): 90.00 90.00 139.30
With the nearest neighbours (Å) after each atom.
Atoms (fractional coordinates):
Cr  0.1227  0.8773  0.7500  7 C 1.99-2.19
Cr  0.8773  0.1227  0.2500  7 C 1.99-2.19
C  0.4025  0.5975  0.7500  7 Cr 1.99-2.19, 2 C 2.22
C  0.5975  0.4025  0.2500  7 Cr 1.99-2.19, 2 C 2.22

No. 11
The following is a PBE-GGA calculation of an optimized crystal structure of CrC, from the Alexandria database.

Summary:
Magnetic moment = 1.09 μB per formula unit
Formation energy = 0.631 eV/atom

a b c (Å): 4.0098 4.0098 3.9111
angles (deg): 90.00 90.00 90.00
With the nearest neighbours (Å) after each atom.
Atoms (fractional coordinates):
Cr  0.0000  0.0000  0.0000  6 C 1.96-2.00
Cr  0.0000  0.5000  0.5000  4 C 1.96-2.00
Cr  0.5000  0.0000  0.5000  4 C 1.96-2.00
C  0.0000  0.0000  0.5000  6 Cr 1.96-2.00
C  0.0000  0.5000  0.0000  4 Cr 1.96-2.00
C  0.5000  0.0000  0.0000  4 Cr 1.96-2.00

No. 12
The following is a PBE-GGA calculation of an optimized crystal structure of CrC3, from the Alexandria database.

Summary:
Magnetic moment = 0.26 μB per formula unit
Formation energy = 2.239 eV/atom

a b c (Å): 3.4629 3.4629 2.6770
angles (deg): 90.00 90.00 111.85
With the nearest neighbours (Å) after each atom.
Atoms (fractional coordinates):
Cr  0.0000  0.0000  0.0000  2 C 1.94
C  0.0000  0.5000  0.5000  2 C 1.94
C  0.5000  0.0000  0.5000  2 C 1.94
C  0.5000  0.5000  0.0000  2 Cr 1.94